# 1
DFT (PBE) results for a relaxed structure of Na3AsS3.

## Properties
uncorrected formation energy: -0.578 eV per atom

Cell lengths 9.2152, 9.2152, 5.6022 Å; angles 90.00, 90.00, 119.96 degrees
Last column: nearest neighbours and their distance in Å.
Fractional coordinates of all 14 atoms:
Na  0.1663  0.8337  0.7500  4 S 2.82-2.83
Na  0.1670  0.3332  0.7500  4 S 2.82-2.83
Na  0.3332  0.1670  0.2500  4 S 2.82-2.83
Na  0.6668  0.8330  0.7500  4 S 2.82-2.83
Na  0.8330  0.6668  0.2500  4 S 2.82-2.83
Na  0.8337  0.1663  0.2500  4 S 2.82-2.83
As  0.3331  0.6669  0.2500  3 S 2.35
As  0.6669  0.3331  0.7500  3 S 2.35
S  0.1864  0.3722  0.2500  1 As 2.35
S  0.1857  0.8143  0.2500  1 As 2.35
S  0.3722  0.1864  0.7500  1 As 2.35
S  0.6278  0.8136  0.2500  1 As 2.35
S  0.8143  0.1857  0.7500  1 As 2.35
S  0.8136  0.6278  0.7500  1 As 2.35


# 2
DFT (PBE) results for a relaxed structure of Li6Mg3Al.

## Properties
DFT formation energy: 0.359 eV per atom

Cell lengths 7.0730, 7.0730, 7.0730 Å; angles 60.00, 60.00, 60.00 degrees
Last column: nearest neighbours and their distance in Å.
Fractional coordinates of all 10 atoms:
Li  0.2446  0.2446  0.7554  1 Al 2.45, 1 Mg 2.55
Li  0.2446  0.7554  0.2446  1 Al 2.45, 1 Mg 2.55
Li  0.2446  0.7554  0.7554  1 Al 2.45, 1 Mg 2.55
Li  0.7554  0.2446  0.2446  1 Al 2.45, 1 Mg 2.55
Li  0.7554  0.2446  0.7554  1 Al 2.45, 1 Mg 2.55
Li  0.7554  0.7554  0.2446  1 Al 2.45, 1 Mg 2.55
Mg  0.2500  0.2500  0.2500  12 Li 3.54
Mg  0.5000  0.5000  0.5000  6 Li 2.55
Mg  0.7500  0.7500  0.7500  12 Li 3.54
Al  0.0000  0.0000  0.0000  6 Li 2.45


# 3
DFT (PBE) results for a relaxed structure of CePuTc.

## Properties
DFT formation energy: 0.053 eV per atom

Cell lengths 7.3699, 7.3699, 7.3699 Å; angles 139.72, 52.11, 148.35 degrees
Last column: nearest neighbours and their distance in Å.
Fractional coordinates of all 6 atoms:
Ce  0.1449  0.0000  0.1449  2 Tc 2.73-2.82, 3 Pu 2.94-2.95
Ce  0.8551  0.0000  0.8551  2 Tc 2.73-2.82, 3 Pu 2.94-2.95
Pu  0.2327  0.8689  0.3638  2 Tc 2.63-2.77, 2 Ce 2.94
Pu  0.5051  0.8689  0.6362  2 Tc 2.63-2.77, 2 Ce 2.94
Tc  0.5158  0.5158  0.0000  4 Ce 2.73-2.82, 2 Tc 2.86
Tc  0.8444  0.3444  0.5000  4 Pu 2.63-2.77, 2 Tc 2.86


# 4
DFT (PBE) results for a relaxed structure of PrY6Tm2.

## Properties
DFT formation energy: 0.072 eV per atom

Cell lengths 11.8620, 11.8620, 5.7097 Å; angles 103.84, 103.84, 48.32 degrees
Last column: nearest neighbours and their distance in Å.
Fractional coordinates of all 18 atoms:
Pr  0.2502  0.7498  0.7500  14 Y 3.50-3.85
Pr  0.7498  0.2502  0.2500  14 Y 3.50-3.85
Y  0.0028  0.1680  0.8589  6 Y 3.26-3.65, 1 Tm 3.45, 1 Pr 3.64
Y  0.0820  0.5831  0.5828  7 Y 3.45-3.82, 1 Pr 3.50, 6 Tm 3.58-3.84
Y  0.1680  0.0028  0.3589  6 Y 3.26-3.65, 1 Tm 3.45, 1 Pr 3.64
Y  0.3322  0.4968  0.1892  5 Y 3.26-3.60, 1 Tm 3.45, 1 Pr 3.64
Y  0.4169  0.9180  0.9172  7 Y 3.45-3.82, 1 Pr 3.50, 6 Tm 3.58-3.84
Y  0.4968  0.3322  0.6892  5 Y 3.26-3.60, 1 Tm 3.45, 1 Pr 3.64
Y  0.5032  0.6678  0.3108  5 Y 3.26-3.60, 1 Tm 3.45, 1 Pr 3.64
Y  0.5831  0.0820  0.0828  7 Y 3.45-3.82, 1 Pr 3.50, 6 Tm 3.58-3.84
Y  0.6678  0.5032  0.8108  5 Y 3.26-3.60, 1 Tm 3.45, 1 Pr 3.64
Y  0.8320  0.9972  0.6411  6 Y 3.26-3.65, 1 Tm 3.45, 1 Pr 3.64
Y  0.9180  0.4169  0.4172  7 Y 3.45-3.82, 1 Pr 3.50, 6 Tm 3.58-3.84
Y  0.9972  0.8320  0.1411  6 Y 3.26-3.65, 1 Tm 3.45, 1 Pr 3.64
Tm  0.1676  0.3327  0.9715  3 Tm 3.27, 4 Y 3.45-3.59
Tm  0.3327  0.1676  0.4715  3 Tm 3.27, 4 Y 3.45-3.59
Tm  0.6673  0.8324  0.5285  3 Tm 3.27, 4 Y 3.45-3.59
Tm  0.8324  0.6673  0.0285  3 Tm 3.27, 4 Y 3.45-3.59


# 5
DFT (PBE) results for a relaxed structure of IrRuPb.

## Properties
DFT formation energy: 0.641 eV per atom

Cell lengths 3.0231, 3.0231, 6.7787 Å; angles 90.00, 90.00, 120.00 degrees
Last column: nearest neighbours and their distance in Å.
Fractional coordinates of all 3 atoms:
Ir  0.0000  0.0000  0.0000  3 Ru 2.62
Ru  0.3333  0.6667  0.7116  3 Ir 2.62
Pb  0.6667  0.3333  0.3603  3 Ru 2.95, 3 Ir 3.00, 6 Pb 3.02


# 6
DFT (PBE) results for a relaxed structure of Tb3YTh4.

## Properties
DFT formation energy: 0.321 eV per atom

Cell lengths 9.6869, 9.6869, 9.6869 Å; angles 159.56, 121.95, 62.21 degrees
Last column: nearest neighbours and their distance in Å.
Fractional coordinates of all 8 atoms:
Tb  0.0000  0.0000  0.0000  2 Tb 3.44, 8 Th 3.52
Tb  0.3147  0.8147  0.5000  6 Th 3.31-3.40, 2 Tb 3.44, 2 Y 3.52
Tb  0.6853  0.1853  0.5000  6 Th 3.31-3.40, 2 Tb 3.44, 2 Y 3.52
Y  0.5000  0.5000  0.0000  2 Y 3.44, 4 Tb 3.52, 4 Th 3.79
Th  0.0460  0.3512  0.6948  5 Tb 3.31-3.52, 3 Th 3.44-3.66
Th  0.3436  0.6488  0.6948  5 Tb 3.31-3.52, 3 Th 3.44-3.66
Th  0.6564  0.3512  0.3052  5 Tb 3.31-3.52, 3 Th 3.44-3.66
Th  0.9540  0.6488  0.3052  5 Tb 3.31-3.52, 3 Th 3.44-3.66


# 7
DFT (PBE) results for a relaxed structure of TbNdTeAs.

## Properties
uncorrected formation energy: -1.478 eV per atom

Cell lengths 7.8751, 7.8751, 7.8751 Å; angles 31.07, 31.07, 31.07 degrees
Last column: nearest neighbours and their distance in Å.
Fractional coordinates of all 4 atoms:
Tb  0.0000  0.0000  0.0000  3 As 2.91, 3 Te 3.20
Nd  0.8110  0.8110  0.8110  3 As 2.94, 3 Te 3.26
Te  0.2408  0.2408  0.2408  3 Tb 3.20, 3 Nd 3.26
As  0.4043  0.4043  0.4043  3 Tb 2.91, 3 Nd 2.94


# 8
DFT (PBE) results for a relaxed structure of SrSc2Ir.

## Properties
DFT formation energy: 0.207 eV per atom

Cell lengths 5.9290, 5.9290, 3.1955 Å; angles 103.12, 103.12, 117.20 degrees
Last column: nearest neighbours and their distance in Å.
Fractional coordinates of all 4 atoms:
Sr  0.0000  0.0000  0.0000  4 Sc 3.03, 4 Ir 3.09-3.34, 2 Sr 3.20
Sc  0.0000  0.5000  0.5000  2 Ir 3.03, 2 Sr 3.03, 6 Sc 3.09-3.34
Sc  0.5000  0.0000  0.5000  2 Ir 3.03, 2 Sr 3.03, 6 Sc 3.09-3.34
Ir  0.5000  0.5000  0.0000  4 Sc 3.03, 4 Sr 3.09-3.34, 2 Ir 3.20